(1)
ErTlMo, relaxed, DFT PBE-GGA; ρ = 10.1 Mg/m³; ΔE to the lowest computed polymorph = 0 meV per atom; V = 25.69 Å³ per atom; crystal system = cubic; total moment = 1.35 μB/f.u.; VASP energy = -5.123 eV per atom
1.0
0.000 3.378 3.378
3.378 0.000 3.378
3.378 3.378 0.000
Er Tl Mo
1 1 1
Cartesian
0.000 0.000 0.000 Er
1.689 1.689 1.689 Tl
3.378 3.378 3.378 Mo

(2)
Lu2FeBi, relaxed, DFT PBE-GGA; ρ = 11.7 Mg/m³; V = 21.75 Å³ per atom; crystal system = cubic; total moment = 0.76 μB/f.u.; VASP energy = -5.114 eV per atom
1.0
0.000 3.517 3.517
3.517 0.000 3.517
3.517 3.517 0.000
Lu Fe Bi
2 1 1
Cartesian
0.000 0.000 0.000 Lu
1.758 1.758 1.758 Lu
5.275 5.275 5.275 Fe
3.517 3.517 3.517 Bi

(3)
SrTbW, relaxed, DFT PBE-GGA; ρ = 7.3 Mg/m³; V = 32.44 Å³ per atom; crystal system = cubic; total moment = 2.44 μB/f.u.; VASP energy = -5.090 eV per atom
1.0
0.000 3.651 3.651
3.651 0.000 3.651
3.651 3.651 0.000
Sr Tb W
1 1 1
Cartesian
0.000 0.000 0.000 Sr
3.651 3.651 3.651 Tb
1.825 1.825 1.825 W

(4)
Tm2ScIn3Cu2Pt, relaxed, DFT PBE-GGA; ρ = 9.4 Mg/m³; V = 20.59 Å³ per atom; crystal system = orthorhombic; total moment = 0.01 μB/f.u.; VASP energy = -4.658 eV per atom
1.0
3.857 0.000 0.000
0.000 6.457 3.720
0.000 -6.457 3.720
Tm Sc In Cu Pt
2 1 3 2 1
Cartesian
0.000 -3.875 3.720 Tm
0.000 3.875 3.720 Tm
0.000 0.000 4.456 Sc
1.928 -1.714 2.523 In
1.928 1.714 2.523 In
1.928 0.000 6.887 In
1.928 -2.133 5.209 Cu
1.928 2.133 5.209 Cu
0.000 0.000 1.499 Pt

(5)
ScTa2Ag, relaxed, DFT PBE-GGA; ρ = 11.5 Mg/m³; V = 18.54 Å³ per atom; crystal system = cubic; total moment = 0.00 μB/f.u.; VASP energy = -7.969 eV per atom
1.0
0.000 3.335 3.335
3.335 0.000 3.335
3.335 3.335 0.000
Sc Ta Ag
1 2 1
Cartesian
0.000 0.000 0.000 Sc
3.335 3.335 3.335 Ta
5.002 5.002 5.002 Ta
1.667 1.667 1.667 Ag

(6)
Li2Ni2B, relaxed, DFT PBE-GGA; ρ = 4.2 Mg/m³; V = 11.24 Å³ per atom; crystal system = tetragonal; total moment = 0.00 μB/f.u.; VASP energy = -4.528 eV per atom
1.0
5.162 0.000 0.000
0.000 5.162 0.000
0.000 0.000 4.216
Li Ni B
4 4 2
Cartesian
0.895 1.686 0.000 Li
1.686 4.268 0.000 Li
3.476 0.895 0.000 Li
4.268 3.476 0.000 Li
0.826 3.407 2.108 Ni
1.756 0.826 2.108 Ni
3.407 4.337 2.108 Ni
4.337 1.756 2.108 Ni
0.000 0.000 2.108 B
2.581 2.581 2.108 B

(7)
ErAlAsO, relaxed, DFT PBE-GGA; ρ = 5.9 Mg/m³; ΔE to the lowest computed polymorph = 683 meV per atom; V = 19.93 Å³ per atom; crystal system = tetragonal; total moment = 0.01 μB/f.u.; VASP energy = -5.475 eV per atom
1.0
4.051 0.000 0.000
0.000 4.051 0.000
0.000 0.000 9.718
Er Al As O
2 2 2 2
Cartesian
1.013 3.038 0.000 Er
3.038 1.013 0.000 Er
1.013 1.013 4.327 Al
3.038 3.038 5.391 Al
1.013 1.013 1.932 As
3.038 3.038 7.786 As
1.013 3.038 4.859 O
3.038 1.013 4.859 O

(8)
Ho2Au, relaxed, DFT PBE-GGA; ρ = 11.4 Mg/m³; V = 25.57 Å³ per atom; crystal system = cubic; total moment = 0.00 μB/f.u.; VASP energy = -3.867 eV per atom
1.0
0.000 4.249 4.249
4.249 0.000 4.249
4.249 4.249 0.000
Ho Au
4 2
Cartesian
0.000 0.000 0.000 Ho
2.124 2.124 0.000 Ho
2.124 0.000 2.124 Ho
0.000 2.124 2.124 Ho
3.187 3.187 3.187 Au
5.311 5.311 5.311 Au

(9)
BaNdPdSe3, relaxed, DFT PBE-GGA; ρ = 6.0 Mg/m³; V = 28.68 Å³ per atom; crystal system = orthorhombic; total moment = 0.00 μB/f.u.; VASP energy = -5.246 eV per atom
1.0
14.432 0.000 0.000
0.000 4.308 0.000
0.000 0.000 11.074
Ba Nd Pd Se
4 4 4 12
Cartesian
3.310 1.077 0.453 Ba
3.906 3.231 5.990 Ba
10.526 1.077 5.085 Ba
11.122 3.231 10.622 Ba
0.368 1.077 3.654 Nd
6.848 3.231 9.191 Nd
7.584 1.077 1.883 Nd
14.064 3.231 7.420 Nd
0.050 1.077 10.126 Pd
7.166 3.231 4.589 Pd
7.266 1.077 6.485 Pd
14.381 3.231 0.948 Pd
1.338 3.231 9.844 Se
1.473 1.077 6.385 Se
2.191 3.231 2.797 Se
5.025 1.077 8.334 Se
5.742 3.231 0.848 Se
5.878 1.077 4.307 Se
8.553 3.231 6.767 Se
8.689 1.077 10.226 Se
9.406 3.231 2.740 Se
12.241 1.077 8.277 Se
12.958 3.231 4.689 Se
13.094 1.077 1.230 Se

(10)
NbTlCoCu, relaxed, DFT PBE-GGA; ρ = 10.9 Mg/m³; ΔE to the lowest computed polymorph = 210 meV per atom; V = 15.97 Å³ per atom; crystal system = cubic; total moment = 0.25 μB/f.u.; VASP energy = -5.370 eV per atom
1.0
0.000 3.173 3.173
3.173 0.000 3.173
3.173 3.173 0.000
Nb Tl Co Cu
1 1 1 1
Cartesian
0.000 0.000 0.000 Nb
1.587 1.587 1.587 Tl
4.760 4.760 4.760 Co
3.173 3.173 3.173 Cu

(11)
PrGdCo2Si2, relaxed, DFT PBE-GGA; ρ = 7.0 Mg/m³; V = 18.68 Å³ per atom; crystal system = tetragonal; total moment = 0.56 μB/f.u.; VASP energy = -6.448 eV per atom
1.0
4.001 0.000 0.000
0.000 4.001 0.000
0.000 0.000 7.000
Pr Gd Co Si
1 1 2 2
Cartesian
0.000 0.000 0.000 Pr
2.001 2.001 2.594 Gd
0.000 2.001 4.717 Co
2.001 0.000 4.717 Co
0.000 0.000 3.511 Si
2.001 2.001 5.912 Si

(12)
SrInPt, relaxed, DFT PBE-GGA; ρ = 7.9 Mg/m³; V = 28.03 Å³ per atom; crystal system = cubic; total moment = 0.00 μB/f.u.; VASP energy = -4.088 eV per atom
1.0
0.000 3.477 3.477
3.477 0.000 3.477
3.477 3.477 0.000
Sr In Pt
1 1 1
Cartesian
0.000 0.000 0.000 Sr
3.477 3.477 3.477 In
5.216 5.216 5.216 Pt